The following is a PBE calculation of an optimized crystal structure of DyYAu, from Alexandria.

extended XYZ file:
```
18
Lattice="4.930 0.000 0.000 0.000 7.334 0.163 0.000 0.264 13.376" Properties=species:S:1:pos:R:3 pbc="T T T"
Dy 1.232 7.068 1.309
Dy 1.232 6.431 6.216
Dy 3.697 5.053 10.574
Dy 3.697 1.167 7.323
Dy 1.232 2.545 2.965
Dy 3.697 0.530 12.230
Y 3.697 3.915 5.114
Y 1.232 0.215 9.601
Y 3.697 7.382 3.938
Y 3.697 4.577 1.215
Y 1.232 3.683 8.425
Y 1.232 3.021 12.324
Au 1.232 5.907 12.201
Au 3.697 2.259 9.993
Au 3.697 5.577 7.675
Au 3.697 1.690 1.338
Au 1.232 2.021 5.864
Au 1.232 5.339 3.546
```

## Properties
The calculation puts the polymorph energy (0 for the lowest one) at 0.0 meV/atom.

=====

The following is a PBE calculation of an optimized crystal structure of DyYAu, from Alexandria.

extended XYZ file:
```
6
Lattice="-4.577 -0.052 -0.951 -0.693 -4.225 3.567 1.340 4.659 4.789" Properties=species:S:1:pos:R:3 pbc="T T T"
Dy -2.644 -0.347 1.253
Dy -1.286 0.728 6.153
Au -0.668 0.812 3.172
Au -3.262 -0.431 4.234
Y -3.124 2.529 3.408
Y -0.806 -2.148 3.998
```

## Properties
The calculation puts the polymorph energy (0 for the lowest one) at 99.7 meV/atom.

=====

The following is a PBE calculation of an optimized crystal structure of Dy5YAu6, from Alexandria.

extended XYZ file:
```
12
Lattice="-3.279 2.971 -2.500 -4.722 -4.606 5.874 6.585 5.219 2.723" Properties=species:S:1:pos:R:3 pbc="T T T"
Y 0.000 0.000 0.000
Au 1.537 2.545 1.005
Au 0.832 4.328 4.038
Au -1.996 2.390 0.289
Au 0.581 1.194 5.809
Au -2.248 -0.744 2.060
Au -2.952 1.040 5.093
Dy 3.067 5.072 1.997
Dy 2.819 1.947 3.773
Dy -0.708 1.792 3.049
Dy -0.956 -1.333 4.825
Dy -4.482 -1.487 4.101
```

=====

The following is a PBE calculation of an optimized crystal structure of Dy2YAu, from Alexandria.

extended XYZ file:
```
4
Lattice="3.745 0.000 0.000 1.873 3.243 0.000 1.873 1.081 9.797" Properties=species:S:1:pos:R:3 pbc="T T T"
Dy 1.873 1.081 7.766
Dy 1.873 1.081 2.031
Y 3.745 2.162 4.880
Au 3.745 2.162 0.018
```

## Properties
The calculation puts the polymorph energy (0 for the lowest one) at 161.8 meV/atom.

=====

| no. | raw total energy (eV per atom) | spin magnetization (μB/f.u.) |
| --- | --- | --- |
| 1 | -5.3980 | 0.00 |
| 2 | -5.2984 | 0.00 |
| 3 | -4.9571 | 0.00 |
| 4 | -5.0261 | 0.60 |